! MgSiAu2 SCAN PBEsol geometry; values from VASP
&SYSTEM
  ibrav = 0, nat = 4, ntyp = 3
/
ATOMIC_SPECIES
Mg 24.30 Mg.upf
Si 28.09 Si.upf
Au 196.97 Au.upf
CELL_PARAMETERS angstrom
3.549 0.000 0.000
0.000 3.549 0.000
0.000 0.000 5.370
ATOMIC_POSITIONS angstrom
Mg 0.000 0.000 0.000
Si 1.774 1.774 1.715
Au 0.000 0.000 2.594
Au 1.774 1.774 4.302
! Theoretical density (g/cm3): 11.0
! Total energy (eV/atom): -38.630


! Ba2BMoCl SCAN PBEsol geometry; values from VASP
&SYSTEM
  ibrav = 0, nat = 5, ntyp = 4
/
ATOMIC_SPECIES
Ba 137.33 Ba.upf
B 10.81 B.upf
Mo 95.94 Mo.upf
Cl 35.45 Cl.upf
CELL_PARAMETERS angstrom
5.857 0.000 0.000
0.000 5.857 0.000
0.000 0.000 4.219
ATOMIC_POSITIONS angstrom
Ba 0.000 2.928 0.000
Ba 2.928 0.000 0.000
B 0.000 0.000 2.110
Mo 2.928 2.928 2.110
Cl 0.000 0.000 0.000
! Theoretical density (g/cm3): 4.8
! Total energy (eV/atom): -25.066


| no. | Fermi-level density of states (states/eV per cell) | raw formation energy (meV per atom) | volume (Å³ per cell) |
| --- | --- | --- | --- |
| 1 | 1.12 | -304 | 67.63 |
| 2 | 2.55 | 813 | 144.72 |